No. 1
KSrOs: relaxed, PBE-GGA.

Results
The magnetization is 4.1 μB per cell. Its formation energy is 133 kJ per mole of atoms. The value obtained for the energy above the most stable polymorph in this dataset is 0.92 eV/f.u. The calculation puts the density of states at the Fermi level at 27.8 states/eV per cell.

Unit cell a=7.439 b=7.439 c=7.439 alpha=90.00 beta=90.00 gamma=90.00
Space group F-43m (No. 216)
Symmetry-distinct sites (fractional):
K  0.000  0.000  0.000 (multiplicity 4)
Sr  0.000  0.000  0.500 (multiplicity 4)
Os  0.250  0.250  0.250 (multiplicity 4)

No. 2
K2SrOs: relaxed, PBE-GGA.

Results
The magnetization is 0.9 μB per cell. Its formation energy is 83 kJ per mole of atoms. The value obtained for the energy above the most stable polymorph in this dataset is 0.00 eV/f.u. The calculation puts the density of states at the Fermi level at 8.1 states/eV per cell.

Unit cell a=3.276 b=5.156 c=19.581 alpha=90.00 beta=90.00 gamma=90.00
Space group Immm (No. 71)
Symmetry-distinct sites (fractional):
K  0.000  0.000  0.154 (multiplicity 4)
Sr  0.000  0.500  0.000 (multiplicity 2)
Os  0.000  0.500  0.500 (multiplicity 2)

No. 3
KSrOs2: relaxed, PBE-GGA.

Results
The magnetization is 0.0 μB per cell. Its formation energy is 62 kJ per mole of atoms. The value obtained for the energy above the most stable polymorph in this dataset is 0.89 eV/f.u. The calculation puts the density of states at the Fermi level at 3.7 states/eV per cell.

Unit cell a=2.957 b=3.887 c=9.703 alpha=90.00 beta=90.00 gamma=90.00
Space group Pmm2 (No. 25)
Symmetry-distinct sites (fractional):
K  0.000  0.000  0.000 (multiplicity 1)
Sr  0.500  0.500  0.581 (multiplicity 1)
Os  0.000  0.000  0.352 (multiplicity 1)
Os  0.500  0.500  0.268 (multiplicity 1)